! LiTl2Zn2 (PBE-GGA, optimized geometry); values from VASP
&SYSTEM
  ibrav = 0, nat = 5, ntyp = 3
/
ATOMIC_SPECIES
Li 6.94 Li.upf
Tl 204.38 Tl.upf
Zn 65.41 Zn.upf
ATOMIC_POSITIONS angstrom
Li 0.0000 0.0000 0.0000
Tl 0.0000 0.0000 6.9399
Tl 0.0000 0.0000 10.6525
Zn 1.7809 0.0000 4.3981
Zn 0.0000 1.7809 4.3981
CELL_PARAMETERS angstrom
-1.7809 1.7809 8.7962
1.7809 -1.7809 8.7962
1.7809 1.7809 -8.7962
! ΔE_f	0.0291	eV per atom
! excess energy over the best structure of this formula in the dataset	0	meV per atom
! uncorrected energy	-1.810	eV/atom
! M_tot	0.000	μB/atom
! density of states at the Fermi level	1.56	states/eV/cell
! crystal system	tetragonal